# LaPm2MoO8 GGA+U optimized geometry
# Symmetry ... P2/m (10)
# E ... -7.70 eV/atom
data_LaPm2MoO8
_chemical_formula_sum 'La1 Pm2 Mo1 O8'
_cell_length_a 5.170
_cell_length_b 5.169
_cell_length_c 7.133
_cell_angle_alpha 90.00
_cell_angle_beta 90.00
_cell_angle_gamma 90.56
_space_group_name_H-M_alt 'P 1'
_space_group_IT_number 1
loop_
_space_group_symop_operation_xyz
'x,y,z'
loop_
_atom_site_label
_atom_site_fract_x
_atom_site_fract_y
_atom_site_fract_z
La1 0.000 0.000 0.500
Pm1 0.500 0.500 0.757
Pm2 0.500 0.500 0.243
Mo1 0.000 0.000 0.000
O1 0.180 0.819 0.201
O2 0.730 0.732 0.000
O3 0.820 0.181 0.201
O4 0.820 0.181 0.799
O5 0.270 0.268 0.000
O6 0.180 0.819 0.799
O7 0.687 0.688 0.500
O8 0.313 0.312 0.500